Lu6GeIr2: relaxed, PBE.

POSCAR file:
```
Lu6GeIr2
1.0
7.408 0.000 0.000
-3.704 6.416 0.000
0.000 0.000 4.411
Lu Ge Ir
6 1 2
direct
0.000 0.415 0.000
0.000 0.737 0.500
0.263 0.263 0.500
0.415 0.000 0.000
0.585 0.585 0.000
0.737 0.000 0.500
0.000 0.000 0.000
0.333 0.667 0.500
0.667 0.333 0.500
```

Results
calculated total energy	-55.41	eV per formula unit